(1)
The following is a PBE-GGA calculation of a relaxed IrSeBr2 crystal, from Alexandria.

Properties
Uncorrected formation energy: 0.6 eV/f.u.

Lattice parameters (Å, degrees): 7.3877 7.3877 7.3877 151.36 136.52 52.89
Fractional coordinates of all 4 atoms:
Br: 0.6498 0.1498 0.5000
Br: 0.9343 0.9343 0.0000
Ir: 0.5157 0.5157 0.0000
Se: 0.4001 0.9001 0.5000

=====

(2)
The following is a PBE-GGA calculation of a relaxed PPt crystal, from Alexandria.

Lattice parameters (Å, degrees): 3.3925 3.3925 7.6794 90.00 90.00 120.00
Fractional coordinates of all 4 atoms:
Pt: 0.6667 0.3333 0.3590
Pt: 0.3333 0.6667 0.6410
P: 0.6667 0.3333 0.8020
P: 0.3333 0.6667 0.1980

=====

(3)
The following is a PBE-GGA calculation of a relaxed BaNi2Ir crystal, from Alexandria.

Lattice parameters (Å, degrees): 4.7962 4.7962 3.0236 90.00 90.00 83.55
Fractional coordinates of all 4 atoms:
Ir: 0.0000 0.5000 0.5000
Ni: 0.0000 0.0000 0.0000
Ni: 0.5000 0.5000 0.0000
Ba: 0.5000 0.0000 0.5000

=====

(4)
The following is a PBE-GGA calculation of a relaxed MgFeTcSn2 crystal, from Alexandria.

Lattice parameters (Å, degrees): 5.1009 4.7869 5.1009 90.00 90.00 90.00
Fractional coordinates of all 5 atoms:
Sn: 0.0000 0.0000 0.5000
Sn: 0.5000 0.0000 0.0000
Tc: 0.0000 0.0000 0.0000
Fe: 0.0000 0.5000 0.0000
Mg: 0.5000 0.5000 0.5000

=====

(5)
The following is a PBE-GGA calculation of a relaxed Cu2SnMo crystal, from Alexandria.

Lattice parameters (Å, degrees): 3.9013 3.9558 3.9558 90.00 90.00 90.00
Fractional coordinates of all 4 atoms:
Cu: 0.0000 0.0000 0.5000
Cu: 0.0000 0.5000 0.0000
Mo: 0.5000 0.5000 0.5000
Sn: 0.5000 0.0000 0.0000

=====

(6)
The following is a PBE-GGA calculation of a relaxed TmCu3Ge3 crystal, from Alexandria.

Lattice parameters (Å, degrees): 6.5727 6.5727 6.5727 90.00 90.00 90.00
Fractional coordinates of all 14 atoms:
Cu: 0.5000 0.0000 0.2500
Cu: 0.0000 0.7500 0.5000
Cu: 0.0000 0.2500 0.5000
Cu: 0.2500 0.5000 0.0000
Cu: 0.5000 0.0000 0.7500
Cu: 0.7500 0.5000 0.0000
Tm: 0.5000 0.5000 0.5000
Tm: 0.0000 0.0000 0.0000
Ge: 0.2500 0.0000 0.5000
Ge: 0.5000 0.7500 0.0000
Ge: 0.7500 0.0000 0.5000
Ge: 0.0000 0.5000 0.7500
Ge: 0.5000 0.2500 0.0000
Ge: 0.0000 0.5000 0.2500

=====

(7)
The following is a PBE-GGA calculation of a relaxed YHo4Er6 crystal, from Alexandria.

Lattice parameters (Å, degrees): 7.5635 7.5635 8.4085 116.73 116.73 90.00
Fractional coordinates of all 11 atoms:
Er: 0.0000 0.5000 0.0000
Er: 0.0713 0.0713 0.6304
Er: 0.5592 0.5592 0.6304
Er: 0.4408 0.9287 0.3696
Er: 0.9287 0.4408 0.3696
Er: 0.5000 0.0000 0.0000
Ho: 0.7565 0.0898 0.8463
Ho: 0.0898 0.7565 0.8463
Ho: 0.2435 0.2435 0.1537
Ho: 0.9102 0.9102 0.1537
Y: 0.5000 0.5000 0.0000

=====

(8)
The following is a PBE-GGA calculation of a relaxed Cs3Au2Br9 crystal, from Alexandria.

Properties
Uncorrected formation energy: -11.8 eV/f.u.

Lattice parameters (Å, degrees): 7.7194 7.7194 9.4977 90.00 90.00 120.00
Fractional coordinates of all 14 atoms:
Cs: 0.6667 0.3333 0.6524
Cs: 0.0000 0.0000 0.0000
Cs: 0.3333 0.6667 0.3476
Br: 0.6607 0.8303 0.6826
Br: 0.1697 0.8303 0.6826
Br: 0.8303 0.1697 0.3174
Br: 0.8303 0.6607 0.3174
Br: 0.5000 0.5000 0.0000
Br: 0.5000 0.0000 0.0000
Br: 0.1697 0.3393 0.6826
Br: 0.0000 0.5000 0.0000
Br: 0.3393 0.1697 0.3174
Au: 0.6667 0.3333 0.1661
Au: 0.3333 0.6667 0.8339

=====

Across the entries above, density of states at the Fermi level takes the values 0.8533 0.3355 1.2009 0.9134 0.4128 0.5234 1.4241 0.5332 states/eV per atom, respectively.
Across the entries above, E_tot takes the values -15.0 -23.7 -19.8 -25.3 -22.4 -58.3 -47.0 -36.0 eV/cell, respectively.